Entry 1:
Here is a PBEsol-optimized structure of MnZnTc2 from Alexandria. Energies are from SCAN.

Output
D(E_F) = 2.3 states/eV/f.u.
calculated volume = 52.8 Å³/cell
magnetic moment = 2.86 μB/f.u.
formation energy from the elements = -0.03 eV per atom
energy = -25.507 eV per atom

Unit cell a=4.8392 b=4.8392 c=4.8392 alpha=142.12 beta=129.75 gamma=64.61
Closest atoms and distances in Å follow each position.
Atoms (fractional coordinates):
Mn: 0.0000 0.0000 0.0000  6 Tc 2.54-2.59, 2 Zn 2.57
Zn: 0.2480 0.7480 0.5000  2 Mn 2.57, 8 Tc 2.59-2.83
Tc: 0.5103 0.5103 0.0000  2 Tc 2.55, 4 Mn 2.59, 4 Zn 2.66-2.83
Tc: 0.7559 0.2559 0.5000  2 Mn 2.54, 2 Tc 2.55, 4 Zn 2.59

Entry 2:
Here is a PBEsol-optimized structure of MnZnTc2 from Alexandria. Energies are from SCAN.

Output
D(E_F) = 2.5 states/eV/f.u.
calculated volume = 52.5 Å³/cell
magnetic moment = 3.26 μB/f.u.
formation energy from the elements = 0.06 eV per atom
energy = -25.414 eV per atom

Unit cell a=8.6777 b=8.6777 c=8.6777 alpha=17.66 beta=17.66 gamma=17.66
Closest atoms and distances in Å follow each position.
Atoms (fractional coordinates):
Mn: 0.0000 0.0000 0.0000  3 Tc 2.54, 3 Zn 2.60, 6 Mn 2.66
Zn: 0.2517 0.2517 0.2517  3 Mn 2.60, 6 Zn 2.66, 3 Tc 2.74
Tc: 0.4967 0.4967 0.4967  9 Tc 2.65-2.66, 3 Zn 2.74
Tc: 0.7457 0.7457 0.7457  3 Mn 2.54, 9 Tc 2.65-2.66